An optimized crystal structure of CrHS2. Source: Alexandria via LeMat-Bulk, functional PBE.

Cell lengths 6.7917, 5.8930, 5.1585 Å; angles 90.14, 112.52, 64.38 degrees
With the nearest neighbours (Å) after each atom.
Element x y z (fractional)
H 0.4746 0.5047 0.0335  2 Cr 1.77
H 0.6460 0.9822 0.1213  1 S 1.37
S 0.4368 0.4435 0.5143  2 Cr 2.16
S 0.8846 0.6121 0.7407  2 Cr 2.15
S 0.4866 0.8840 0.0407  1 H 1.37
S 0.9245 0.2144 0.2597  2 Cr 2.15
Cr 0.6693 0.5156 0.8892  1 H 1.77
Cr 0.6693 0.5156 0.3744  1 H 1.77

Results
* total moment: 0.0000 μB per atom
* total energy: -5.622 eV/atom
* SG: P1 (1)


An optimized crystal structure of Ga3PdRh2. Source: Alexandria via LeMat-Bulk, functional PBE.

Cell lengths 2.9722, 2.9722, 9.7673 Å; angles 90.00, 90.00, 90.00 degrees
With the nearest neighbours (Å) after each atom.
Element x y z (fractional)
Ga 0.0000 0.0000 0.0000  8 Rh 2.63
Ga 0.0000 0.0000 0.6751  4 Rh 2.63, 4 Pd 2.71
Ga 0.0000 0.0000 0.3249  4 Rh 2.63, 4 Pd 2.71
Pd 0.5000 0.5000 0.5000  8 Ga 2.71, 4 Pd 2.97
Rh 0.5000 0.5000 0.8378  8 Ga 2.63
Rh 0.5000 0.5000 0.1622  8 Ga 2.63

Results
* total moment: 0.0000 μB per atom
* total energy: -5.463 eV/atom
* formation enthalpy at 0 K: -0.633 eV per atom
* SG: P4/mmm (123)


An optimized crystal structure of RbMnRe2Te. Source: Alexandria via LeMat-Bulk, functional PBE.

Cell lengths 4.5496, 5.4271, 4.5496 Å; angles 90.00, 90.00, 90.00 degrees
With the nearest neighbours (Å) after each atom.
Element x y z (fractional)
Re 0.0000 0.0000 0.5000  2 Mn 2.27
Re 0.5000 0.0000 0.0000  2 Mn 2.27
Te 0.5000 0.5000 0.5000  4 Rb 3.22, 8 Re 3.54
Rb 0.0000 0.5000 0.0000  2 Mn 2.71
Mn 0.0000 0.0000 0.0000  4 Re 2.27

Results
* total moment: 0.0000 μB per atom
* total energy: -5.925 eV/atom
* ΔE_f (raw): 1710 meV per atom
* SG: P4/mmm (123)